ZrRe3As: optimized geometry, PBE-GGA.

Properties
mass density = 10.7 g/cm³
E_form = 2698.9 meV per atom
symmetry = Pm-3m, No. 221
E above lowest polymorph = 8.52 eV/f.u.
volume = 112.1 Å³/f.u.

The structure in POSCAR format:
```
ZrRe3As
1.0
4.821 0.000 0.000
0.000 4.821 0.000
0.000 0.000 4.821
Re Zr As
3 1 1
direct
0.500 0.000 0.000
0.000 0.500 0.000
0.000 0.000 0.500
0.000 0.000 0.000
0.500 0.500 0.500
```